# 1
# MgScAsSe2

An optimized crystal structure of MgScAsSe2 (PBE-GGA, Alexandria via LeMat-Bulk).

Unit cell a=4.990 b=4.990 c=4.879 alpha=90.00 beta=90.00 gamma=90.00
Positions (direct):
Mg1 0.000 0.000 0.000
Se1 0.000 0.500 0.000
Se2 0.500 0.000 0.000
Sc1 0.500 0.500 0.500
As1 0.000 0.000 0.500

Energy above the lowest structure with this stoichiometry = 110.4 kJ/mol of formula units
Formation energy from raw total energies = -110.1 meV/atom
Volume = 24.29 Å³/atom
Space-group type = P4/mmm (123)

=====

# 2
# MgScAsSe2

An optimized crystal structure of MgScAsSe2 (PBE-GGA, Alexandria via LeMat-Bulk).

Unit cell a=5.123 b=5.145 c=5.123 alpha=90.00 beta=90.00 gamma=90.00
Positions (direct):
Mg1 0.500 0.500 0.500
Se1 0.000 0.000 0.500
Se2 0.500 0.000 0.000
Sc1 0.000 0.000 0.000
As1 0.000 0.500 0.000

Energy above the lowest structure with this stoichiometry = 0.0 kJ/mol of formula units
Formation energy from raw total energies = -338.9 meV/atom
Volume = 27.00 Å³/atom
Space-group type = P4/mmm (123)

=====

# 3
# MgSc2TcAs

An optimized crystal structure of MgSc2TcAs (PBE-GGA, Alexandria via LeMat-Bulk).

Unit cell a=5.047 b=4.496 c=5.047 alpha=90.00 beta=90.00 gamma=90.00
Positions (direct):
Tc1 0.000 0.500 0.000
Sc1 0.000 0.000 0.500
Sc2 0.500 0.000 0.000
Mg1 0.000 0.000 0.000
As1 0.500 0.500 0.500

Volume = 22.90 Å³/atom
Space-group type = P4/mmm (123)
ΔH_f (0 K) = 4.61 eV per formula unit

=====

# 4
# MgScTlAs2

An optimized crystal structure of MgScTlAs2 (PBE-GGA, Alexandria via LeMat-Bulk).

Unit cell a=5.373 b=5.028 c=5.373 alpha=90.00 beta=90.00 gamma=90.00
Positions (direct):
As1 0.500 0.000 0.000
As2 0.000 0.000 0.500
Sc1 0.500 0.500 0.500
Mg1 0.000 0.500 0.000
Tl1 0.000 0.000 0.000

Volume = 29.03 Å³/atom
Space-group type = P4/mmm (123)
ΔH_f (0 K) = 3.51 eV per formula unit

=====

What is the formula in the third record?
MgSc2TcAs

=====

Copy entry 3 word for word.
# MgSc2TcAs

An optimized crystal structure of MgSc2TcAs (PBE-GGA, Alexandria via LeMat-Bulk).

Unit cell a=5.047 b=4.496 c=5.047 alpha=90.00 beta=90.00 gamma=90.00
Positions (direct):
Tc1 0.000 0.500 0.000
Sc1 0.000 0.000 0.500
Sc2 0.500 0.000 0.000
Mg1 0.000 0.000 0.000
As1 0.500 0.500 0.500

Volume = 22.90 Å³/atom
Space-group type = P4/mmm (123)
ΔH_f (0 K) = 4.61 eV per formula unit

=====

The highest volume belongs to which entry?
MgScTlAs2